Record 1
Compound: KP2W
Source: Alexandria via LeMat-Bulk
Functional: PBE-GGA
Structure: relaxed

The structure in POSCAR format:
```
KP2W
1.0
3.398 -0.009 0.013
1.708 2.937 0.013
1.665 0.955 8.061
K P W
1 2 1
direct
0.250 0.250 0.250 K
0.020 0.020 0.940 P
0.480 0.480 0.560 P
0.750 0.750 0.750 W
```

## Properties
As for the calculated volume: 20.124 A^3/atom. The calculation puts the density at 5.88 g/cm3. Its space group is No. 166. The calculation puts the uncorrected energy at -25.7 eV per formula unit.

=====

Record 2
Compound: Ca2CoP
Source: Alexandria via LeMat-Bulk
Functional: PBE-GGA
Structure: relaxed

The structure in POSCAR format:
```
Ca2CoP
1.0
5.251 -0.302 0.078
1.528 5.033 -0.078
-3.006 -2.915 3.184
Ca Co P
2 1 1
direct
0.035 0.035 0.000 Ca
0.716 0.216 0.500 Ca
0.408 0.408 0.000 Co
0.342 0.842 0.500 P
```

## Properties
As for the calculated volume: 21.301 A^3/atom. The calculation puts the density at 3.31 g/cm3. Its space group is No. 44. The calculation puts the uncorrected energy at -18.1 eV per formula unit.

=====

Record 3
Compound: AcPrCdAu
Source: Alexandria via LeMat-Bulk
Functional: PBE-GGA
Structure: relaxed

The structure in POSCAR format:
```
AcPrCdAu
1.0
5.523 0.000 0.000
2.762 4.783 0.000
2.762 1.594 4.510
Pr Ac Au Cd
1 1 1 1
direct
0.000 0.000 0.000 Pr
0.500 0.500 0.500 Ac
0.250 0.250 0.250 Au
0.750 0.750 0.750 Cd
```

## Properties
As for the calculated volume: 29.790 A^3/atom. The calculation puts the density at 9.44 g/cm3. Its space group is No. 216. The calculation puts the uncorrected energy at -15.0 eV per formula unit.

=====

Record 4
Compound: Tl2VCdSn
Source: Alexandria via LeMat-Bulk
Functional: PBE-GGA
Structure: relaxed

The structure in POSCAR format:
```
Tl2VCdSn
1.0
-1.381 -0.099 -5.593
-3.363 -4.133 0.904
-4.293 3.712 0.995
Tl V Sn Cd
2 1 1 1
direct
0.000 0.000 0.500 Tl
0.500 0.000 0.000 Tl
0.500 0.500 0.500 V
0.000 0.000 0.000 Sn
0.000 0.500 0.000 Cd
```

## Properties
As for the calculated volume: 35.883 A^3/atom. The calculation puts the density at 6.39 g/cm3. Its space group is No. 123. The calculation puts the uncorrected energy at -12.5 eV per formula unit.

=====

Record 5
Compound: Pm12Pr7Y
Source: Alexandria via LeMat-Bulk
Functional: PBE-GGA
Structure: relaxed

The structure in POSCAR format:
```
Pm12Pr7Y
1.0
9.496 0.000 -3.357
-4.748 8.224 -3.357
0.000 0.000 10.072
Pm Pr Y
12 7 1
direct
0.506 0.753 0.753 Pm
0.000 0.753 0.247 Pm
0.494 0.247 0.247 Pm
0.000 0.247 0.753 Pm
0.753 0.000 0.247 Pm
0.753 0.506 0.753 Pm
0.247 0.000 0.753 Pm
0.247 0.494 0.247 Pm
0.753 0.753 0.506 Pm
0.247 0.247 0.494 Pm
0.753 0.247 0.000 Pm
0.247 0.753 0.000 Pm
0.500 0.500 0.000 Pr
0.000 0.500 0.500 Pr
0.500 0.000 0.500 Pr
0.500 0.500 0.500 Pr
0.000 0.000 0.500 Pr
0.500 0.000 0.000 Pr
0.000 0.500 0.000 Pr
0.000 0.000 0.000 Y
```

## Properties
As for the calculated volume: 39.330 A^3/atom. The calculation puts the density at 5.94 g/cm3. Its space group is No. 229. The calculation puts the uncorrected energy at -85.2 eV per formula unit.

=====

Copy entry 4 word for word.
Compound: Tl2VCdSn
Source: Alexandria via LeMat-Bulk
Functional: PBE-GGA
Structure: relaxed

The structure in POSCAR format:
```
Tl2VCdSn
1.0
-1.381 -0.099 -5.593
-3.363 -4.133 0.904
-4.293 3.712 0.995
Tl V Sn Cd
2 1 1 1
direct
0.000 0.000 0.500 Tl
0.500 0.000 0.000 Tl
0.500 0.500 0.500 V
0.000 0.000 0.000 Sn
0.000 0.500 0.000 Cd
```

## Properties
As for the calculated volume: 35.883 A^3/atom. The calculation puts the density at 6.39 g/cm3. Its space group is No. 123. The calculation puts the uncorrected energy at -12.5 eV per formula unit.